Computed, not measured: a relaxed Ti6NbSn3 crystal at the GGA-PBE level of DFT.

The calculation puts the magnetic moment at 0.00 μB per atom. The calculation puts the formation energy at -26 kJ/mol of atoms. The value obtained for the density is 6.64 g/cm³. The value obtained for the energy above the most stable polymorph in this dataset is 0.000 eV/f.u.

The structure belongs to space group P2_1/m (No. 11); the cell edges are 7.936, 4.843 and 10.206 Å and the angles 90.00°, 110.26° and 90.00°. The asymmetric unit holds Ti at (0.039, 0.250, 0.414), Ti at (0.155, 0.750, 0.191), Ti at (0.263, 0.250, 0.015), Ti at (0.336, 0.250, 0.308), Ti at (0.370, 0.750, 0.801), Ti at (0.443, 0.250, 0.618), Nb at (0.447, 0.750, 0.097), Sn at (0.051, 0.750, 0.889), Sn at (0.157, 0.250, 0.718) and Sn at (0.276, 0.750, 0.487).